No. 1
# KSc2

A relaxed structure of KSc2 (PBE-GGA, Alexandria).

## Properties
* SG: No. 139
* energy of formation from the pure elements: 0.414 eV/atom

```
KSc2
1.0
8.994 0.009 0.000
7.699 4.649 0.000
-8.347 -2.329 2.408
K Sc
1 2
Direct
0.500 0.500 0.000
0.809 0.809 0.000
0.191 0.191 0.000
```

=====

No. 2
# KSc

A relaxed structure of KSc (PBE-GGA, Alexandria).

## Properties
* SG: No. 59
* energy of formation from the pure elements: 0.520 eV/atom

```
KSc
1.0
3.492 0.000 0.000
0.000 4.832 0.000
0.000 0.000 10.511
Sc K
2 2
Direct
0.000 0.500 0.379
0.500 0.000 0.455
0.000 0.000 0.099
0.500 0.500 0.735
```

=====

No. 3
# KSc

A relaxed structure of KSc (PBE-GGA, Alexandria).

## Properties
* SG: No. 166
* energy of formation from the pure elements: 0.420 eV/atom

```
KSc
1.0
13.586 0.002 0.001
13.108 3.574 0.001
13.108 1.756 3.113
Sc K
2 2
Direct
0.238 0.238 0.238
0.512 0.512 0.512
0.760 0.760 0.760
0.990 0.990 0.990
```

=====

No. 4
# KSc3

A relaxed structure of KSc3 (PBE-GGA, Alexandria).

## Properties
* SG: No. 225
* energy of formation from the pure elements: 0.710 eV/atom

```
KSc3
1.0
-3.779 -0.420 -3.963
-0.385 -4.617 -2.949
-4.316 -3.331 0.663
K Sc
1 3
Direct
0.000 0.000 0.000
0.500 0.500 0.500
0.750 0.750 0.750
0.250 0.250 0.250
```

=====

No. 5
# K2Sc

A relaxed structure of K2Sc (PBE-GGA, Alexandria).

## Properties
* SG: No. 8
* polymorph energy (0 for the lowest one): 13 meV per atom
* energy of formation from the pure elements: 0.484 eV/atom

```
K2Sc
1.0
1.816 7.349 -0.209
-1.816 7.349 -0.209
0.000 2.403 11.260
K Sc
4 2
Direct
0.973 0.973 0.996
0.690 0.690 0.208
0.409 0.409 0.399
0.635 0.635 0.629
0.876 0.876 0.715
0.250 0.250 0.886
```

=====

No. 6
# K5Sc

A relaxed structure of K5Sc (PBE-GGA, Alexandria).

## Properties
* SG: No. 123
* polymorph energy (0 for the lowest one): 0 meV per atom
* energy of formation from the pure elements: 0.338 eV/atom

```
K5Sc
1.0
4.091 0.000 0.000
0.000 4.091 0.000
0.000 0.000 20.741
K Sc
5 1
Direct
0.000 0.000 0.865
0.500 0.500 0.680
0.000 0.000 0.500
0.500 0.500 0.320
0.000 0.000 0.135
0.500 0.500 0.000
```

=====

No. 7
# K3Sc

A relaxed structure of K3Sc (PBE-GGA, Alexandria).

## Properties
* SG: No. 194
* polymorph energy (0 for the lowest one): 137 meV per atom
* energy of formation from the pure elements: 0.600 eV/atom

```
K3Sc
1.0
4.239 -7.343 0.000
4.239 7.343 0.000
0.000 0.000 6.920
Sc K
2 6
Direct
0.667 0.333 0.750
0.333 0.667 0.250
0.348 0.174 0.250
0.174 0.348 0.750
0.174 0.826 0.750
0.826 0.652 0.250
0.652 0.826 0.750
0.826 0.174 0.250
```

=====

No. 8
# KSc2

A relaxed structure of KSc2 (PBE-GGA, Alexandria).

## Properties
* SG: No. 63
* energy of formation from the pure elements: 0.417 eV/atom

```
KSc2
1.0
-3.062 11.734 -0.047
-0.192 -12.123 -0.235
-0.451 -0.096 5.343
K Sc
2 4
Direct
0.063 0.937 0.750
0.937 0.063 0.250
0.660 0.340 0.250
0.272 0.728 0.250
0.340 0.660 0.750
0.728 0.272 0.750
```

=====

No. 9
# K2Sc

A relaxed structure of K2Sc (PBE-GGA, Alexandria).

## Properties
* SG: No. 123
* polymorph energy (0 for the lowest one): 282 meV per atom
* energy of formation from the pure elements: 0.754 eV/atom

```
K2Sc
1.0
7.058 0.000 0.000
0.000 7.058 0.000
0.000 0.000 3.573
K Sc
2 1
Direct
0.000 0.500 0.500
0.500 0.000 0.500
0.000 0.000 0.000
```

=====

No. 10
# K2Sc

A relaxed structure of K2Sc (PBE-GGA, Alexandria).

## Properties
* SG: No. 148
* polymorph energy (0 for the lowest one): 543 meV per atom
* energy of formation from the pure elements: 1.015 eV/atom

```
K2Sc
1.0
-4.689 -2.757 7.240
4.012 -8.099 -0.486
6.625 2.950 5.422
K Sc
8 4
Direct
0.863 0.137 0.363
0.363 0.137 0.137
0.363 0.363 0.637
0.637 0.637 0.363
0.863 0.364 0.863
0.137 0.636 0.137
0.637 0.863 0.863
0.137 0.863 0.636
0.500 0.000 0.500
0.500 0.500 0.000
0.000 0.000 0.000
0.000 0.500 0.500
```

=====

No. 11
# KSc

A relaxed structure of KSc (PBE-GGA, Alexandria).

## Properties
* SG: No. 63
* energy of formation from the pure elements: 0.381 eV/atom

```
KSc
1.0
-3.548 -2.294 -11.744
0.338 0.887 12.444
-1.475 3.271 -0.193
Sc K
2 2
Direct
0.788 0.212 0.750
0.212 0.788 0.250
0.584 0.416 0.750
0.416 0.584 0.250
```

=====

No. 12
# K2Sc

A relaxed structure of K2Sc (PBE-GGA, Alexandria).

## Properties
* SG: No. 227
* polymorph energy (0 for the lowest one): 349 meV per atom
* energy of formation from the pure elements: 0.820 eV/atom

```
K2Sc
1.0
3.650 -1.172 6.181
-2.669 -4.569 4.989
3.230 -6.413 1.156
K Sc
4 2
Direct
0.125 0.125 0.625
0.125 0.125 0.125
0.125 0.625 0.125
0.625 0.125 0.125
0.750 0.750 0.750
0.500 0.500 0.500
```

=====

No. 13
# KSc

A relaxed structure of KSc (PBE-GGA, Alexandria).

## Properties
* SG: No. 70
* energy of formation from the pure elements: 0.866 eV/atom

```
KSc
1.0
-5.020 4.528 0.522
-9.404 -11.731 11.331
4.894 4.429 8.647
K Sc
16 16
Direct
0.000 0.000 0.338
0.000 0.500 0.162
0.750 0.250 0.588
0.500 0.500 0.338
0.250 0.250 0.088
0.250 0.750 0.588
0.000 0.500 0.838
0.500 0.000 0.162
0.250 0.750 0.912
0.250 0.250 0.412
0.750 0.250 0.912
0.500 0.500 0.662
0.000 0.000 0.662
0.500 0.000 0.838
0.750 0.750 0.412
0.750 0.750 0.088
0.750 0.671 0.750
0.000 0.421 0.500
0.750 0.829 0.750
0.000 0.579 0.500
0.250 0.171 0.750
0.500 0.921 0.500
0.250 0.329 0.750
0.000 0.921 0.000
0.250 0.829 0.250
0.500 0.079 0.500
0.250 0.671 0.250
0.750 0.171 0.250
0.500 0.579 0.000
0.000 0.079 0.000
0.500 0.421 0.000
0.750 0.329 0.250
```

=====

No. 14
# KSc5

A relaxed structure of KSc5 (PBE-GGA, Alexandria).

## Properties
* SG: No. 8
* polymorph energy (0 for the lowest one): 107 meV per atom
* energy of formation from the pure elements: 0.344 eV/atom

```
KSc5
1.0
-0.280 -2.672 5.885
2.189 -0.411 6.074
-4.914 5.003 4.359
Sc K
5 1
Direct
0.626 0.626 0.302
0.328 0.328 0.357
0.673 0.673 0.649
0.939 0.939 0.596
0.272 0.272 0.920
0.996 0.996 0.009
```

=====

No. 15
# KSc5

A relaxed structure of KSc5 (PBE-GGA, Alexandria).

## Properties
* SG: No. 216
* polymorph energy (0 for the lowest one): 285 meV per atom
* energy of formation from the pure elements: 0.522 eV/atom

```
KSc5
1.0
0.000 4.447 4.447
4.447 0.000 4.447
4.447 4.447 0.000
Sc K
5 1
Direct
0.620 0.140 0.620
0.140 0.620 0.620
0.620 0.620 0.140
0.250 0.250 0.250
0.620 0.620 0.620
0.000 0.000 0.000
```

=====

No. 16
# KSc3

A relaxed structure of KSc3 (PBE-GGA, Alexandria).

## Properties
* SG: No. 139
* energy of formation from the pure elements: 0.676 eV/atom

```
KSc3
1.0
-1.959 2.147 -5.250
2.596 -3.050 -4.469
-2.936 -1.837 4.900
Sc K
3 1
Direct
0.750 0.250 0.500
0.500 0.500 0.000
0.250 0.750 0.500
0.000 0.000 0.000
```

=====

No. 17
# K3Sc

A relaxed structure of K3Sc (PBE-GGA, Alexandria).

## Properties
* SG: No. 225
* polymorph energy (0 for the lowest one): 144 meV per atom
* energy of formation from the pure elements: 0.607 eV/atom

```
K3Sc
1.0
6.735 0.000 0.000
3.368 5.833 0.000
3.368 1.944 5.499
Sc K
1 3
Direct
0.000 0.000 0.000
0.750 0.750 0.750
0.500 0.500 0.500
0.250 0.250 0.250
```

=====

No. 18
# K2Sc

A relaxed structure of K2Sc (PBE-GGA, Alexandria).

## Properties
* SG: No. 63
* polymorph energy (0 for the lowest one): 183 meV per atom
* energy of formation from the pure elements: 0.654 eV/atom

```
K2Sc
1.0
3.213 10.933 -2.431
-6.299 -9.720 1.277
-1.639 1.901 6.383
Sc K
2 4
Direct
0.121 0.879 0.750
0.879 0.121 0.250
0.545 0.455 0.250
0.213 0.787 0.250
0.455 0.545 0.750
0.787 0.213 0.750
```

=====

No. 19
# KSc3

A relaxed structure of KSc3 (PBE-GGA, Alexandria).

## Properties
* SG: No. 194
* energy of formation from the pure elements: 0.591 eV/atom

```
KSc3
1.0
3.951 -6.843 0.000
3.951 6.843 0.000
0.000 0.000 5.090
Sc K
6 2
Direct
0.868 0.132 0.250
0.736 0.868 0.750
0.132 0.868 0.750
0.132 0.264 0.750
0.868 0.736 0.250
0.264 0.132 0.250
0.667 0.333 0.750
0.333 0.667 0.250
```

=====

No. 20
# KSc

A relaxed structure of KSc (PBE-GGA, Alexandria).

## Properties
* SG: No. 227
* energy of formation from the pure elements: 0.829 eV/atom

```
KSc
1.0
5.958 -0.770 -0.496
3.630 4.787 -0.496
3.630 1.521 4.566
Sc K
2 2
Direct
0.625 0.625 0.625
0.375 0.375 0.375
0.125 0.125 0.125
0.875 0.875 0.875
```

=====

V
In order: 33.506 44.339 37.768 29.281 50.383 57.860 53.851 35.323 59.331 61.855 39.656 45.338 43.398 27.809 29.315 29.566 54.014 46.219 34.399 38.680
Unit: Å³ per atom
Total moment
In order: 1.00 1.65 1.68 1.04 2.11 1.67 3.34 1.09 1.43 8.61 1.04 3.12 24.30 0.90 0.00 2.18 1.80 2.13 0.00 3.15
Unit: μB/cell